SrBe2Sb: optimized geometry, GGA-PBEsol.

Unit cell a=6.251 b=9.971 c=3.014 alpha=90.00 beta=116.86 gamma=90.00
Fractional positions:
Sr 0.000 0.000 0.000
Sr 0.500 0.500 0.000
Be 0.250 0.250 0.500
Be 0.250 0.750 0.500
Be 0.750 0.250 0.500
Be 0.750 0.750 0.500
Sb 0.000 0.500 0.000
Sb 0.500 0.000 0.000

Computed properties:
total magnetization: 0.00 μB/cell
VASP energy: -2.9253 eV per atom
E_form (uncorrected): 0.67 eV/atom